Version i
# PBE UMn2Mo, optimized geometry
data_UMn2Mo
_cell_length_a 4.402
_cell_length_b 4.402
_cell_length_c 3.082
_cell_angle_alpha 90.00
_cell_angle_beta 90.00
_cell_angle_gamma 90.00
_symmetry_space_group_name_H-M 'P 4/m m m'
_symmetry_Int_Tables_number 123
_symmetry_space_group_name_Hall '-P 4 2'
loop_
_atom_site_label
_atom_site_type_symbol
_atom_site_fract_x
_atom_site_fract_y
_atom_site_fract_z
U1 U 0.000 0.000 0.000
Mn1 Mn 0.000 0.500 0.500
Mo1 Mo 0.500 0.500 0.000
# Crystal system   tetragonal

=====

Version ii
# PBE UMn2Mo, optimized geometry
data_UMn2Mo
_cell_length_a 2.8403
_cell_length_b 2.8403
_cell_length_c 25.6041
_cell_angle_alpha 90.00
_cell_angle_beta 90.00
_cell_angle_gamma 120.00
_symmetry_space_group_name_H-M 'R -3 m'
_symmetry_Int_Tables_number 166
_symmetry_space_group_name_Hall '-R 3 2"'
loop_
_atom_site_label
_atom_site_type_symbol
_atom_site_fract_x
_atom_site_fract_y
_atom_site_fract_z
U1 U 0.0000 0.0000 0.0000
Mn1 Mn 0.0000 0.0000 0.2415
Mo1 Mo 0.0000 0.0000 0.5000
# Crystal system   trigonal

=====

Version iii
# PBE UMn2Mo, optimized geometry
data_UMn2Mo
_cell_length_a 2.916
_cell_length_b 2.916
_cell_length_c 6.954
_cell_angle_alpha 90.00
_cell_angle_beta 90.00
_cell_angle_gamma 90.00
_symmetry_space_group_name_H-M 'P 4/m m m'
_symmetry_Int_Tables_number 123
_symmetry_space_group_name_Hall '-P 4 2'
loop_
_atom_site_label
_atom_site_type_symbol
_atom_site_fract_x
_atom_site_fract_y
_atom_site_fract_z
U1 U 0.000 0.000 0.000
Mn1 Mn 0.500 0.500 0.288
Mo1 Mo 0.000 0.000 0.500
# Crystal system   tetragonal

=====

From most stable to least stable, the computed energies give version iii, version i, version ii.